The following is a DFT calculation (GGA-PBE) of GaPbO2F after structural relaxation.

Cell: 5.472 3.914 7.760 Å, 90.00 96.22 90.00°
Element x y z (fractional)
Ga 0.103 0.250 0.136
Ga 0.897 0.750 0.864
Pb 0.251 0.250 0.640
Pb 0.749 0.750 0.360
O 0.003 0.250 0.890
O 0.007 0.750 0.642
O 0.993 0.250 0.358
O 0.997 0.750 0.110
F 0.443 0.250 0.175
F 0.557 0.750 0.825

Calculated values
formation energy (no corrections) = -1.822 eV/atom